[1]
Computed, not measured: a geometry-optimized Cr4Ga structure at the PBE level of DFT.

Values from the calculation:
ΔE to the lowest computed polymorph	1.3159	eV/atom
energy of formation from the pure elements	1.30	eV per atom

Geometry as POSCAR:
```
Cr4Ga
1.0
4.6602 0.0000 0.0000
0.0000 4.6602 0.0000
0.0000 0.0000 4.6602
Cr Ga
4 1
Cartesian
0.0000 0.0000 0.0000
0.0000 2.3301 2.3301
2.3301 0.0000 2.3301
2.3301 2.3301 0.0000
2.3301 2.3301 2.3301
```

[2]
Computed, not measured: a geometry-optimized NaZnIn2As structure at the PBE level of DFT.

Values from the calculation:
energy of formation from the pure elements	0.17	eV per atom

Geometry as POSCAR:
```
NaZnIn2As
1.0
5.3849 0.0000 0.0000
0.0000 5.3849 0.0000
0.0000 0.0000 5.1170
Na Zn In As
1 1 2 1
Cartesian
0.0000 0.0000 0.0000
2.6924 2.6924 2.5585
0.0000 2.6924 2.5585
2.6924 0.0000 2.5585
2.6924 2.6924 0.0000
```

Number 1: spin magnetization 7.0 μB/cell. Number 2: spin magnetization 0.0 μB/cell.